# La3Zn7Ga4

Crystalline La3Zn7Ga4 at its relaxed geometry (PBE-GGA, Alexandria).

Unit cell a=4.484 b=8.469 c=8.451 alpha=67.11 beta=74.61 gamma=74.65
Atoms (fractional coordinates):
Ga 0.345 0.522 0.788
Ga 0.856 0.924 0.364
Ga 0.655 0.478 0.212
Ga 0.144 0.076 0.636
Zn 0.344 0.796 0.516
Zn 0.656 0.204 0.484
Zn 0.146 0.629 0.078
Zn 0.499 0.193 0.808
Zn 0.854 0.371 0.922
Zn 0.000 0.000 0.000
Zn 0.501 0.807 0.192
La 0.701 0.799 0.800
La 0.000 0.500 0.500
La 0.299 0.201 0.200

- Crystal system: monoclinic
- Calculated formation energy: -0.44 eV per atom
- Total magnetic moment: 0.00 μB per formula unit

# Pm4Pr2NdTm

Crystalline Pm4Pr2NdTm at its relaxed geometry (PBE-GGA, Alexandria).

Unit cell a=9.655 b=9.655 c=11.997 alpha=128.33 beta=128.33 gamma=88.43
Atoms (fractional coordinates):
Pm 0.742 0.259 0.501
Pm 0.241 0.758 0.999
Pm 0.734 0.734 0.978
Pm 0.266 0.266 0.022
Pm 0.766 0.766 0.522
Pm 0.759 0.242 0.001
Pm 0.234 0.234 0.478
Pm 0.258 0.741 0.499
Pr 0.000 0.000 0.500
Pr 0.500 0.000 0.000
Pr 0.500 0.500 0.000
Pr 0.500 0.000 0.500
Tm 0.000 0.000 0.000
Tm 0.500 0.500 0.500
Nd 0.000 0.500 0.000
Nd 0.000 0.500 0.500

- Crystal system: monoclinic
- Calculated formation energy: 0.37 eV per atom
- Total magnetic moment: 0.00 μB per formula unit

# Th3NiBiOs

Crystalline Th3NiBiOs at its relaxed geometry (PBE-GGA, Alexandria).

Unit cell a=4.258 b=8.648 c=10.041 alpha=118.09 beta=90.00 gamma=90.00
Atoms (fractional coordinates):
Bi 0.750 0.721 0.728
Bi 0.250 0.279 0.272
Th 0.250 0.080 0.870
Th 0.750 0.263 0.526
Th 0.250 0.737 0.474
Th 0.750 0.920 0.130
Th 0.250 0.513 0.857
Th 0.750 0.487 0.143
Os 0.250 0.734 0.177
Os 0.750 0.266 0.823
Ni 0.250 0.096 0.598
Ni 0.750 0.904 0.402

- Crystal system: monoclinic
- Calculated formation energy: -0.39 eV per atom
- Total magnetic moment: 0.00 μB per formula unit

# VTc2

Crystalline VTc2 at its relaxed geometry (PBE-GGA, Alexandria).

Unit cell a=5.067 b=5.067 c=5.067 alpha=60.00 beta=60.00 gamma=60.00
Last column: magnetic moment on the atom in μB.
Atoms (fractional coordinates):
Tc 0.625 0.625 0.625  -0.07
Tc 0.125 0.625 0.625  -0.07
Tc 0.625 0.625 0.125  -0.07
Tc 0.625 0.125 0.625  -0.07
V 0.000 0.000 0.000  0.90
V 0.250 0.250 0.250  0.90

- Offset from the most stable computed form: 0.357 eV/atom
- Crystal system: cubic
- Calculated formation energy: 0.18 eV per atom
- Total magnetic moment: 0.87 μB per formula unit

# TaSnW3

Crystalline TaSnW3 at its relaxed geometry (PBE-GGA, Alexandria).

Unit cell a=4.838 b=4.838 c=4.838 alpha=90.00 beta=90.00 gamma=90.00
Atoms (fractional coordinates):
Sn 0.500 0.500 0.500
Ta 0.000 0.000 0.000
W 0.000 0.000 0.500
W 0.500 0.000 0.000
W 0.000 0.500 0.000

- Offset from the most stable computed form: 0.000 eV/atom
- Crystal system: cubic
- Calculated formation energy: 2.17 eV per atom
- Total magnetic moment: 0.00 μB per formula unit

# NaV2AgAu

Crystalline NaV2AgAu at its relaxed geometry (PBE-GGA, Alexandria).

Unit cell a=5.021 b=5.202 c=5.021 alpha=90.00 beta=90.00 gamma=90.00
Last column: magnetic moment on the atom in μB.
Atoms (fractional coordinates):
Au 0.000 0.500 0.000  0.01
Na 0.500 0.500 0.500  0.01
V 0.500 0.000 0.000  2.80
V 0.000 0.000 0.500  2.54
Ag 0.000 0.000 0.000  0.09

- Crystal system: tetragonal
- Calculated formation energy: 1.15 eV per atom
- Total magnetic moment: 6.65 μB per formula unit

# ZrNi4P2

Crystalline ZrNi4P2 at its relaxed geometry (PBE-GGA, Alexandria).

Unit cell a=3.822 b=3.822 c=7.353 alpha=74.94 beta=74.94 gamma=60.00
Atoms (fractional coordinates):
Ni 0.860 0.860 0.420
Ni 0.579 0.579 0.264
Ni 0.421 0.421 0.736
Ni 0.140 0.140 0.580
P 0.248 0.248 0.255
P 0.752 0.752 0.745
Zr 0.000 0.000 0.000

- Offset from the most stable computed form: 0.114 eV/atom
- Crystal system: trigonal
- Calculated formation energy: -0.69 eV per atom
- Total magnetic moment: 0.00 μB per formula unit

# CaMgBRh2

Crystalline CaMgBRh2 at its relaxed geometry (PBE-GGA, Alexandria).

Unit cell a=4.256 b=4.256 c=4.392 alpha=90.00 beta=90.00 gamma=90.00
Atoms (fractional coordinates):
Rh 0.500 0.000 0.000
Rh 0.000 0.500 0.000
Ca 0.500 0.500 0.500
Mg 0.000 0.000 0.500
B 0.000 0.000 0.000

- Offset from the most stable computed form: 0.000 eV/atom
- Crystal system: tetragonal
- Calculated formation energy: -0.38 eV per atom
- Total magnetic moment: 0.00 μB per formula unit